Record 1
# ZnS (PBE, relaxed)
data_ZnS
_chemical_formula_sum 'Zn10 S10'
_symmetry_space_group_name_H-M 'P 3 m 1'
_symmetry_Int_Tables_number 156
_symmetry_space_group_name_Hall 'P 3 -2"'
_cell_length_a 3.8349
_cell_length_b 3.8349
_cell_length_c 31.3680
_cell_angle_alpha 90.00
_cell_angle_beta 90.00
_cell_angle_gamma 120.00
loop_
_atom_site_label
_atom_site_fract_x
_atom_site_fract_y
_atom_site_fract_z
Zn1 0.0000 0.0000 0.0000
Zn2 0.0000 0.0000 0.2000
Zn3 0.0000 0.0000 0.4000
Zn4 0.0000 0.0000 0.7000
Zn5 0.3333 0.6667 0.1000
Zn6 0.3333 0.6667 0.5000
Zn7 0.3333 0.6667 0.8000
Zn8 0.6667 0.3333 0.3000
Zn9 0.6667 0.3333 0.6000
Zn10 0.6667 0.3333 0.9000
S1 0.0000 0.0000 0.0749
S2 0.0000 0.0000 0.2749
S3 0.0000 0.0000 0.4749
S4 0.0000 0.0000 0.7750
S5 0.3333 0.6667 0.1750
S6 0.3333 0.6667 0.5750
S7 0.3333 0.6667 0.8750
S8 0.6667 0.3333 0.3750
S9 0.6667 0.3333 0.6750
S10 0.6667 0.3333 0.9750
# Energy, eV for the cell shown: -70.16

Record 2
# Hf2Sn2Te (PBE, relaxed)
data_Hf2Sn2Te
_chemical_formula_sum 'Hf8 Sn8 Te4'
_symmetry_space_group_name_H-M 'C m c m'
_symmetry_Int_Tables_number 63
_symmetry_space_group_name_Hall '-C 2c 2'
_cell_length_a 13.478
_cell_length_b 5.860
_cell_length_c 6.353
_cell_angle_alpha 90.00
_cell_angle_beta 90.00
_cell_angle_gamma 90.00
loop_
_atom_site_label
_atom_site_fract_x
_atom_site_fract_y
_atom_site_fract_z
Hf1 0.206 0.116 0.250
Sn1 0.111 0.500 0.000
Te1 0.000 0.026 0.250
# Energy, eV for the cell shown: -124.85

Record 3
# BeGaCuHg (PBE, relaxed)
data_BeGaCuHg
_chemical_formula_sum 'Be4 Ga4 Cu4 Hg4'
_symmetry_space_group_name_H-M 'F -4 3 m'
_symmetry_Int_Tables_number 216
_symmetry_space_group_name_Hall 'F -4 2 3'
_cell_length_a 6.236
_cell_length_b 6.236
_cell_length_c 6.236
_cell_angle_alpha 90.00
_cell_angle_beta 90.00
_cell_angle_gamma 90.00
loop_
_atom_site_label
_atom_site_fract_x
_atom_site_fract_y
_atom_site_fract_z
Be1 0.000 0.000 0.000
Ga1 0.250 0.250 0.250
Cu1 0.000 0.000 0.500
Hg1 0.250 0.250 0.750
# Polymorph energy (0 for the lowest one), meV/atom: 0
# Energy, eV for the cell shown: -37.48